# Na3CoO3 GGA-PBEsol optimized geometry
data_Na3CoO3
_chemical_formula_sum 'Na12 Co4 O12'
_cell_length_a 8.2536
_cell_length_b 10.0347
_cell_length_c 4.7343
_cell_angle_alpha 90.00
_cell_angle_beta 90.00
_cell_angle_gamma 90.00
_space_group_name_H-M_alt 'C m c m'
_space_group_IT_number 63
_space_group_name_Hall '-C 2c 2'
loop_
_atom_site_label
_atom_site_type_symbol
_atom_site_fract_x
_atom_site_fract_y
_atom_site_fract_z
Na1 Na 0.0000 0.1023 0.2500
Na2 Na 0.2224 0.3882 0.2500
Co1 Co 0.0000 0.3043 0.7500
O1 O 0.0000 0.1275 0.7500
O2 O 0.1934 0.3759 0.7500
# ΔE to the lowest computed polymorph, eV per formula unit: 0.25
# Formation energy without anion corrections, eV per atom: -1.236
# Magnetic moment, μB per formula unit: 3.95
# DFT total energy, eV per atom: -5.19
# DOS at the Fermi energy, states/eV per cell: 8.91